Compound: Li3In4Au
Source: the Alexandria database
Functional: PBE-GGA
Structure: optimized geometry

a b c (Å): 3.502 4.383 11.806
angles (deg): 100.52 98.18 90.29
Space group P-1 (No. 2)
Symmetry-distinct sites (fractional):
Li (0.000, 0.000, 0.000) x1
Li (0.356, 0.849, 0.709) x2
In (0.092, 0.604, 0.189) x2
In (0.223, 0.721, 0.443) x2
Au (0.500, 0.500, 0.000) x1

Computed properties:
formation energy: -0.229 eV/atom

Compound: AlMo2Pt2
Source: the Alexandria database
Functional: PBE-GGA
Structure: optimized geometry

a b c (Å): 3.835 3.835 12.027
angles (deg): 90.00 90.00 90.00
Space group I4/mmm (No. 139)
Symmetry-distinct sites (fractional):
Al (0.000, 0.000, 0.000) x2
Mo (0.000, 0.000, 0.405) x4
Pt (0.000, 0.500, 0.250) x4

Computed properties:
formation energy: 0.168 eV/atom

Compound: La3Nd2Ga3
Source: the Alexandria database
Functional: PBE-GGA
Structure: optimized geometry

a b c (Å): 3.825 5.391 22.557
angles (deg): 90.00 90.00 90.00
Space group Immm (No. 71)
Symmetry-distinct sites (fractional):
La (0.000, 0.000, 0.000) x2
La (0.000, 0.500, 0.116) x4
Nd (0.000, 0.000, 0.227) x4
Ga (0.000, 0.000, 0.500) x2
Ga (0.000, 0.500, 0.381) x4

Computed properties:
formation energy: -0.418 eV/atom

Compound: Sr2CuBr
Source: the Alexandria database
Functional: PBE-GGA
Structure: optimized geometry

a b c (Å): 12.731 4.051 4.977
angles (deg): 90.00 90.08 90.00
Space group Cm (No. 8)
Symmetry-distinct sites (fractional):
Sr (0.000, 0.000, 0.000) x2
Sr (0.239, 0.500, 0.499) x2
Cu (0.252, 0.000, 0.000) x2
Br (0.483, 0.000, 0.500) x2

Computed properties:
raw formation energy: -610 meV per atom

Compound: ZrSc14Nb
Source: the Alexandria database
Functional: PBE-GGA
Structure: optimized geometry

a b c (Å): 9.814 7.808 9.930
angles (deg): 90.00 90.00 90.00
Space group Amm2 (No. 38)
Symmetry-distinct sites (fractional):
Zr (0.000, 0.000, 0.000) x2
Sc (0.000, 0.209, 0.276) x4
Sc (0.224, 0.000, 0.778) x4
Sc (0.232, 0.211, 0.506) x8
Sc (0.270, 0.000, 0.219) x4
Sc (0.500, 0.000, 0.443) x2
Sc (0.500, 0.000, 0.992) x2
Sc (0.500, 0.205, 0.720) x4
Nb (0.000, 0.000, 0.573) x2

Computed properties:
formation energy: 0.055 eV/atom

Compound: PmDy9Er2
Source: the Alexandria database
Functional: PBE-GGA
Structure: optimized geometry

a b c (Å): 11.2050 11.2050 3.4992
angles (deg): 90.00 90.00 120.00
Space group P6/mmm (No. 191)
Symmetry-distinct sites (fractional):
Pm (0.0000, 0.0000, 0.0000) x1
Dy (0.0000, 0.5000, 0.0000) x3
Dy (0.1779, 0.3557, 0.5000) x6
Er (0.3333, 0.6667, 0.0000) x2

Computed properties:
formation energy: 0.040 eV/atom

Compound: NdSm5P6
Source: the Alexandria database
Functional: PBE-GGA
Structure: optimized geometry

a b c (Å): 7.135 12.354 7.133
angles (deg): 90.00 109.48 90.00
Space group C2/m (No. 12)
Symmetry-distinct sites (fractional):
Nd (0.000, 0.000, 0.000) x2
Sm (0.000, 0.166, 0.500) x4
Sm (0.000, 0.333, 0.000) x4
Sm (0.000, 0.500, 0.500) x2
P (0.248, 0.500, 0.251) x4
P (0.249, 0.332, 0.749) x8

Computed properties:
formation energy: -1.566 eV/atom

Compound: TiSnP3
Source: the Alexandria database
Functional: PBE-GGA
Structure: optimized geometry

a b c (Å): 4.747 4.747 4.747
angles (deg): 90.00 90.00 90.00
Space group Pm-3m (No. 221)
Symmetry-distinct sites (fractional):
Ti (0.000, 0.000, 0.000) x1
Sn (0.500, 0.500, 0.500) x1
P (0.000, 0.000, 0.500) x3

Computed properties:
formation energy: 0.155 eV/atom

Compound: ScInGaAu
Source: the Alexandria database
Functional: PBE-GGA
Structure: optimized geometry

a b c (Å): 6.827 6.827 6.827
angles (deg): 90.00 90.00 90.00
Space group F-43m (No. 216)
Symmetry-distinct sites (fractional):
Sc (0.000, 0.000, 0.000) x4
In (0.000, 0.000, 0.500) x4
Ga (0.250, 0.250, 0.750) x4
Au (0.250, 0.250, 0.250) x4

Computed properties:
formation energy: -0.432 eV/atom

Compound: KSrTiCl6
Source: the Alexandria database
Functional: PBE-GGA
Structure: optimized geometry

a b c (Å): 7.0871 7.0871 13.2068
angles (deg): 90.00 90.00 120.00
Space group P-31c (No. 163)
Symmetry-distinct sites (fractional):
K (0.0000, 0.0000, 0.0000) x2
Sr (0.3333, 0.6667, 0.2500) x2
Ti (0.3333, 0.6667, 0.7500) x2
Cl (0.0484, 0.3896, 0.6418) x12

Computed properties:
raw formation energy: -1962 meV per atom

Compound: TbMgCu
Source: the Alexandria database
Functional: PBE-GGA
Structure: optimized geometry

a b c (Å): 4.7031 4.7031 3.3995
angles (deg): 90.00 90.00 120.00
Space group P-6m2 (No. 187)
Symmetry-distinct sites (fractional):
Tb (0.0000, 0.0000, 0.0000) x1
Mg (0.6667, 0.3333, 0.5000) x1
Cu (0.3333, 0.6667, 0.5000) x1

Computed properties:
formation energy: -0.063 eV/atom

Compound: CrBiP
Source: the Alexandria database
Functional: PBE-GGA
Structure: optimized geometry

a b c (Å): 4.610 4.604 6.190
angles (deg): 90.00 98.20 90.00
Space group Cm (No. 8)
Symmetry-distinct sites (fractional):
Cr (0.000, 0.000, 0.000) x2
Bi (0.031, 0.500, 0.589) x2
P (0.024, 0.500, 0.120) x2

Computed properties:
formation energy: 0.094 eV/atom